1.
{"formula": "Ac2YCuO5", "functional": "PBE-GGA", "state": "optimized geometry", "lattice_angstrom": [[3.8203, 0.0000, 0.0000], [0.0000, 3.8203, 0.0000], [0.0000, 0.0000, 9.5093]], "species": ["Ac", "Ac", "Y", "Cu", "O", "O", "O", "O", "O"], "fractional_positions": [[0.0000, 0.0000, 0.1955], [0.0000, 0.0000, 0.8045], [0.5000, 0.5000, 0.5000], [0.5000, 0.5000, 0.0000], [0.0000, 0.0000, 0.5000], [0.0000, 0.5000, 0.0000], [0.5000, 0.0000, 0.0000], [0.5000, 0.5000, 0.2711], [0.5000, 0.5000, 0.7289]], "sg": "No. 123", "energy_ev_per_cell": -66.81, "total_magnetization_mub_per_cell": 0.00, "mass_density_g_cm3": 8.2, "dos_at_fermi_per_ev_cell": 0.96}

=====

2.
{"formula": "Ac3YCu2O9", "functional": "PBE-GGA", "state": "optimized geometry", "lattice_angstrom": [[5.7195, 0.0000, 0.0000], [-2.8597, 4.9532, 0.0000], [0.0000, 0.0000, 7.2086]], "species": ["Ac", "Ac", "Ac", "Y", "Cu", "Cu", "O", "O", "O", "O", "O", "O", "O", "O", "O"], "fractional_positions": [[0.0000, 0.0000, 0.0000], [0.3333, 0.6667, 0.7048], [0.6667, 0.3333, 0.2952], [0.0000, 0.0000, 0.5000], [0.3333, 0.6667, 0.1616], [0.6667, 0.3333, 0.8384], [0.0000, 0.5000, 0.0000], [0.1705, 0.3410, 0.3109], [0.1705, 0.8295, 0.3109], [0.3410, 0.1705, 0.6891], [0.5000, 0.0000, 0.0000], [0.5000, 0.5000, 0.0000], [0.6590, 0.8295, 0.3109], [0.8295, 0.1705, 0.6891], [0.8295, 0.6590, 0.6891]], "sg": "No. 164", "energy_ev_per_cell": -106.89, "total_magnetization_mub_per_cell": 0.00, "mass_density_g_cm3": 8.5, "dos_at_fermi_per_ev_cell": 4.51}

=====

3.
{"formula": "Ac4YCu3O12", "functional": "PBE-GGA", "state": "optimized geometry", "lattice_angstrom": [[-4.0377, 4.0377, 4.0377], [4.0377, -4.0377, 4.0377], [4.0377, 4.0377, -4.0377]], "species": ["Ac", "Ac", "Ac", "Ac", "Y", "Cu", "Cu", "Cu", "O", "O", "O", "O", "O", "O", "O", "O", "O", "O", "O", "O"], "fractional_positions": [[0.0000, 0.0000, 0.5000], [0.0000, 0.5000, 0.0000], [0.5000, 0.0000, 0.0000], [0.5000, 0.5000, 0.5000], [0.0000, 0.0000, 0.0000], [0.0000, 0.5000, 0.5000], [0.5000, 0.0000, 0.5000], [0.5000, 0.5000, 0.0000], [0.0000, 0.2659, 0.2659], [0.0000, 0.7341, 0.7341], [0.2500, 0.5000, 0.7500], [0.2500, 0.7500, 0.5000], [0.2659, 0.0000, 0.2659], [0.2659, 0.2659, 0.0000], [0.5000, 0.2500, 0.7500], [0.5000, 0.7500, 0.2500], [0.7341, 0.0000, 0.7341], [0.7341, 0.7341, 0.0000], [0.7500, 0.2500, 0.5000], [0.7500, 0.5000, 0.2500]], "sg": "No. 229", "energy_ev_per_cell": -139.80, "total_magnetization_mub_per_cell": 0.00, "mass_density_g_cm3": 8.7, "dos_at_fermi_per_ev_cell": 6.71}

=====

4.
{"formula": "Ac2YCuO6", "functional": "PBE-GGA", "state": "optimized geometry", "lattice_angstrom": [[5.7529, 0.0000, 0.0000], [0.0000, 8.2928, 0.0000], [0.0000, 0.0000, 6.1008]], "species": ["Ac", "Ac", "Ac", "Ac", "Y", "Y", "Cu", "Cu", "O", "O", "O", "O", "O", "O", "O", "O", "O", "O", "O", "O"], "fractional_positions": [[0.2500, 0.0214, 0.2092], [0.2500, 0.4786, 0.2092], [0.7500, 0.5214, 0.7908], [0.7500, 0.9786, 0.7908], [0.2500, 0.2500, 0.7160], [0.7500, 0.7500, 0.2840], [0.2500, 0.7500, 0.7712], [0.7500, 0.2500, 0.2288], [0.0050, 0.2500, 0.4455], [0.0046, 0.7500, 0.0072], [0.2500, 0.5094, 0.7926], [0.2500, 0.9906, 0.7926], [0.4950, 0.2500, 0.4455], [0.4954, 0.7500, 0.0072], [0.5046, 0.2500, 0.9928], [0.5050, 0.7500, 0.5545], [0.7500, 0.0094, 0.2074], [0.7500, 0.4906, 0.2074], [0.9954, 0.2500, 0.9928], [0.9950, 0.7500, 0.5545]], "sg": "No. 59", "energy_ev_per_cell": -147.46, "total_magnetization_mub_per_cell": 3.92, "mass_density_g_cm3": 8.0, "dos_at_fermi_per_ev_cell": 1.56}

=====

5.
{"formula": "Ac2ZnCuO6", "functional": "PBE-GGA", "state": "optimized geometry", "lattice_angstrom": [[0.0000, 3.9699, 3.9699], [3.9699, 0.0000, 3.9699], [3.9699, 3.9699, 0.0000]], "species": ["Ac", "Ac", "Zn", "Cu", "O", "O", "O", "O", "O", "O"], "fractional_positions": [[0.2500, 0.2500, 0.2500], [0.7500, 0.7500, 0.7500], [0.0000, 0.0000, 0.0000], [0.5000, 0.5000, 0.5000], [0.2551, 0.2551, 0.7449], [0.2551, 0.7449, 0.2551], [0.2551, 0.7449, 0.7449], [0.7449, 0.2551, 0.2551], [0.7449, 0.2551, 0.7449], [0.7449, 0.7449, 0.2551]], "sg": "No. 225", "energy_ev_per_cell": -64.29, "total_magnetization_mub_per_cell": 0.00, "mass_density_g_cm3": 9.0, "dos_at_fermi_per_ev_cell": 2.11}

=====

6.
{"formula": "Ac4Zn3CuO12", "functional": "PBE-GGA", "state": "optimized geometry", "lattice_angstrom": [[-3.9855, 3.9855, 3.9855], [3.9855, -3.9855, 3.9855], [3.9855, 3.9855, -3.9855]], "species": ["Ac", "Ac", "Ac", "Ac", "Zn", "Zn", "Zn", "Cu", "O", "O", "O", "O", "O", "O", "O", "O", "O", "O", "O", "O"], "fractional_positions": [[0.0000, 0.0000, 0.5000], [0.0000, 0.5000, 0.0000], [0.5000, 0.0000, 0.0000], [0.5000, 0.5000, 0.5000], [0.0000, 0.5000, 0.5000], [0.5000, 0.0000, 0.5000], [0.5000, 0.5000, 0.0000], [0.0000, 0.0000, 0.0000], [0.0000, 0.2403, 0.2403], [0.0000, 0.7597, 0.7597], [0.2403, 0.0000, 0.2403], [0.2403, 0.2403, 0.0000], [0.2500, 0.5000, 0.7500], [0.2500, 0.7500, 0.5000], [0.5000, 0.2500, 0.7500], [0.5000, 0.7500, 0.2500], [0.7500, 0.2500, 0.5000], [0.7500, 0.5000, 0.2500], [0.7597, 0.0000, 0.7597], [0.7597, 0.7597, 0.0000]], "sg": "No. 229", "energy_ev_per_cell": -126.60, "total_magnetization_mub_per_cell": 0.00, "mass_density_g_cm3": 8.9, "dos_at_fermi_per_ev_cell": 3.33}

=====

7.
{"formula": "Ac3ZnCu2O8", "functional": "PBE-GGA", "state": "optimized geometry", "lattice_angstrom": [[5.5782, 0.0000, 0.0000], [-2.7891, 4.8309, 0.0000], [0.0000, 0.0000, 7.3930]], "species": ["Ac", "Ac", "Ac", "Zn", "Cu", "Cu", "O", "O", "O", "O", "O", "O", "O", "O"], "fractional_positions": [[0.0000, 0.0000, 0.0000], [0.3333, 0.6667, 0.6313], [0.6667, 0.3333, 0.3687], [0.0000, 0.0000, 0.5000], [0.3333, 0.6667, 0.1851], [0.6667, 0.3333, 0.8149], [0.1634, 0.3268, 0.3229], [0.1634, 0.8366, 0.3229], [0.3268, 0.1634, 0.6771], [0.3333, 0.6667, 0.9390], [0.6667, 0.3333, 0.0610], [0.6732, 0.8366, 0.3229], [0.8366, 0.1634, 0.6771], [0.8366, 0.6732, 0.6771]], "sg": "No. 164", "energy_ev_per_cell": -89.15, "total_magnetization_mub_per_cell": 2.21, "mass_density_g_cm3": 8.3, "dos_at_fermi_per_ev_cell": 8.93}

=====

8.
{"formula": "Ac2ZnCuO5", "functional": "PBE-GGA", "state": "optimized geometry", "lattice_angstrom": [[7.2847, 0.0000, 0.0000], [0.0000, 7.2847, 0.0000], [0.0000, 0.0000, 5.5337]], "species": ["Ac", "Ac", "Ac", "Ac", "Zn", "Zn", "Cu", "Cu", "O", "O", "O", "O", "O", "O", "O", "O", "O", "O"], "fractional_positions": [[0.1817, 0.3183, 0.0000], [0.3183, 0.8183, 0.0000], [0.6817, 0.1817, 0.0000], [0.8183, 0.6817, 0.0000], [0.0000, 0.0000, 0.5000], [0.5000, 0.5000, 0.5000], [0.0000, 0.5000, 0.5000], [0.5000, 0.0000, 0.5000], [0.0000, 0.0000, 0.0000], [0.1241, 0.6241, 0.2603], [0.1241, 0.6241, 0.7397], [0.3759, 0.1241, 0.2603], [0.3759, 0.1241, 0.7397], [0.5000, 0.5000, 0.0000], [0.6241, 0.8759, 0.2603], [0.6241, 0.8759, 0.7397], [0.8759, 0.3759, 0.2603], [0.8759, 0.3759, 0.7397]], "sg": "No. 127", "energy_ev_per_cell": -110.96, "total_magnetization_mub_per_cell": 0.00, "mass_density_g_cm3": 7.5, "dos_at_fermi_per_ev_cell": 4.21}